{
  "formula": "TaTe2CI",
  "functional": "PBE",
  "state": "optimized geometry",
  "lattice_angstrom": [[4.7139, 0.0000, 0.0000], [0.0000, 4.7139, 0.0000], [0.0000, 0.0000, 4.8373]],
  "species": ["Ta", "Te", "Te", "C", "I"],
  "frac_coords": [[0.0000, 0.0000, 0.0000], [0.0000, 0.5000, 0.5000], [0.5000, 0.0000, 0.5000], [0.5000, 0.5000, 0.5000], [0.5000, 0.5000, 0.0000]],
  "n_ef_per_ev_cell": 3.0,
  "de_polymorph_mev_per_atom": 0,
  "magnetic_moment_mub_per_cell": 1.85,
  "e_form_raw_ev_per_fu": 7.17
}